A plane-wave DFT calculation with SCAN was carried out for a PBEsol-optimized structure of Mg2NiOs.

abc: 2.7906 2.7906 26.9662
angles: 90.00 90.00 120.00
With the nearest neighbours (Å) after each atom.
Fractional positions:
Mg: 0.0000 0.0000 0.0000  3 Ni 2.64, 6 Mg 2.79
Mg: 0.0000 0.0000 0.2324  3 Os 2.78, 6 Mg 2.79
Mg: 0.3333 0.6667 0.6667  3 Ni 2.64, 6 Mg 2.79
Mg: 0.3333 0.6667 0.8991  3 Os 2.78, 6 Mg 2.79
Mg: 0.6667 0.3333 0.3333  3 Ni 2.64, 6 Mg 2.79
Mg: 0.6667 0.3333 0.5657  3 Os 2.78, 6 Mg 2.79
Ni: 0.0000 0.0000 0.7441  3 Os 2.51, 3 Mg 2.64, 6 Ni 2.79
Ni: 0.3333 0.6667 0.4107  3 Os 2.51, 3 Mg 2.64, 6 Ni 2.79
Ni: 0.6667 0.3333 0.0774  3 Os 2.51, 3 Mg 2.64, 6 Ni 2.79
Os: 0.0000 0.0000 0.4819  3 Ni 2.51, 3 Mg 2.78, 6 Os 2.79
Os: 0.3333 0.6667 0.1486  3 Ni 2.51, 3 Mg 2.78, 6 Os 2.79
Os: 0.6667 0.3333 0.8153  3 Ni 2.51, 3 Mg 2.78, 6 Os 2.79

Computed properties:
Energy above the lowest structure with this stoichiometry (kJ/mol of atoms): 3.0
Calculated volume (Å³/cell): 182
ΔE_f (eV/f.u.): 0.9
Magnetic moment (μB per formula unit): 0.0

***

A plane-wave DFT calculation with SCAN was carried out for a PBEsol-optimized structure of Li5Ni3N3.

abc: 6.4113 6.4113 3.4369
angles: 90.00 90.00 120.00
With the nearest neighbours (Å) after each atom.
Fractional positions:
Li: 0.0000 0.2629 0.0000  2 N 2.10
Li: 0.2629 0.0000 0.0000  2 N 2.10
Li: 0.3333 0.6667 0.0000  3 N 2.04
Li: 0.6667 0.3333 0.0000  3 N 2.04
Li: 0.7371 0.7371 0.0000  2 N 2.10
Ni: 0.0000 0.6307 0.5000  2 N 1.72
Ni: 0.3693 0.3693 0.5000  2 N 1.72
Ni: 0.6307 0.0000 0.5000  2 N 1.72
N: 0.0000 0.6329 0.0000  2 Ni 1.72
N: 0.3671 0.3671 0.0000  2 Ni 1.72
N: 0.6329 0.0000 0.0000  2 Ni 1.72

Computed properties:
Calculated volume (Å³/cell): 122
Raw formation energy (eV/atom): -0.43
Magnetic moment (μB per formula unit): 0.0

***

A plane-wave DFT calculation with SCAN was carried out for a PBEsol-optimized structure of Ba2SiPb.

abc: 4.1186 4.1186 30.6364
angles: 90.00 90.00 120.00
With the nearest neighbours (Å) after each atom.
Fractional positions:
Ba: 0.0000 0.0000 0.2412  3 Si 3.30, 3 Pb 3.69
Ba: 0.0000 0.0000 0.7588  3 Si 3.30, 3 Pb 3.69
Ba: 0.3333 0.6667 0.4254  3 Si 3.30, 3 Pb 3.69
Ba: 0.3333 0.6667 0.9079  3 Si 3.30, 3 Pb 3.69
Ba: 0.6667 0.3333 0.0921  3 Si 3.30, 3 Pb 3.69
Ba: 0.6667 0.3333 0.5746  3 Si 3.30, 3 Pb 3.69
Si: 0.0000 0.0000 0.5000  6 Ba 3.30
Si: 0.3333 0.6667 0.1667  6 Ba 3.30
Si: 0.6667 0.3333 0.8333  6 Ba 3.30
Pb: 0.0000 0.0000 0.0000  6 Ba 3.69, 6 Pb 4.12
Pb: 0.3333 0.6667 0.6667  6 Ba 3.69, 6 Pb 4.12
Pb: 0.6667 0.3333 0.3333  6 Ba 3.69, 6 Pb 4.12

Computed properties:
Energy above the lowest structure with this stoichiometry (kJ/mol of atoms): 43.3
Calculated volume (Å³/cell): 450
Raw formation energy (eV/atom): -0.12
Magnetic moment (μB per formula unit): 0.0

***

A plane-wave DFT calculation with SCAN was carried out for a PBEsol-optimized structure of BaReTe2.

abc: 3.4135 3.4135 8.2869
angles: 90.00 90.00 90.00
With the nearest neighbours (Å) after each atom.
Fractional positions:
Ba: 0.0000 0.0000 0.0000  4 Ba 3.41, 8 Te 3.52
Re: 0.0000 0.0000 0.5000  8 Te 2.89
Te: 0.5000 0.5000 0.3085  4 Re 2.89, 1 Te 3.17
Te: 0.5000 0.5000 0.6915  4 Re 2.89, 1 Te 3.17

Computed properties:
Energy above the lowest structure with this stoichiometry (kJ/mol of atoms): 53.0
Calculated volume (Å³/cell): 97
Raw formation energy (eV/atom): 0.24
Magnetic moment (μB per formula unit): 0.0